1.
DFT (PBE-GGA) results for a relaxed structure of NpPdSe2.

Cell and atoms, written as CIF:
```
data_NpPdSe2
_cell_length_a 9.9564
_cell_length_b 3.9949
_cell_length_c 6.9462
_cell_angle_alpha 90.00
_cell_angle_beta 132.99
_cell_angle_gamma 90.00
_symmetry_space_group_name_H-M 'C 1 m 1'
_symmetry_Int_Tables_number 8
_symmetry_space_group_name_Hall 'C -2y'
loop_
_atom_site_label
_atom_site_type_symbol
_atom_site_fract_x
_atom_site_fract_y
_atom_site_fract_z
_atom_site_occupancy
Np1 Np 0.0000 0.0000 0.0000 1
Pd1 Pd 0.2894 0.5000 0.4210 1
Se1 Se 0.2051 0.5000 0.9909 1
Se2 Se 0.2256 0.0000 0.5749 1
```

Output
- formation energy without anion corrections (meV per atom) = -629
- energy relative to the lowest polymorph listed for this composition (meV per atom) = 182
- calculated total energy (hartree per atom) = -0.2537

2.
DFT (PBE-GGA) results for a relaxed structure of AcMg6.

Cell and atoms, written as CIF:
```
data_AcMg6
_cell_length_a 6.7402
_cell_length_b 6.7402
_cell_length_c 6.7402
_cell_angle_alpha 90.00
_cell_angle_beta 90.00
_cell_angle_gamma 90.00
_symmetry_space_group_name_H-M 'P m -3 m'
_symmetry_Int_Tables_number 221
_symmetry_space_group_name_Hall '-P 4 2 3'
loop_
_atom_site_label
_atom_site_type_symbol
_atom_site_fract_x
_atom_site_fract_y
_atom_site_fract_z
_atom_site_occupancy
Ac1 Ac 0.0000 0.0000 0.0000 1
Mg1 Mg 0.1954 0.5000 0.5000 1
```

Output
- energy relative to the lowest polymorph listed for this composition (meV per atom) = 883
- energy of formation from the pure elements (eV per atom) = 0.8320
- calculated total energy (hartree per atom) = -0.0412

3.
DFT (PBE-GGA) results for a relaxed structure of TlC2.

Cell and atoms, written as CIF:
```
data_TlC2
_cell_length_a 7.4698
_cell_length_b 2.7070
_cell_length_c 10.1952
_cell_angle_alpha 90.00
_cell_angle_beta 97.74
_cell_angle_gamma 90.00
_symmetry_space_group_name_H-M 'C 1 2/m 1'
_symmetry_Int_Tables_number 12
_symmetry_space_group_name_Hall '-C 2y'
loop_
_atom_site_label
_atom_site_type_symbol
_atom_site_fract_x
_atom_site_fract_y
_atom_site_fract_z
_atom_site_occupancy
Tl1 Tl 0.0413 0.0000 0.3248 1
C1 C 0.2195 0.5000 0.8274 1
C2 C 0.2434 0.5000 0.9630 1
```

Output
- energy relative to the lowest polymorph listed for this composition (meV per atom) = 354
- energy of formation from the pure elements (eV per atom) = 1.2561
- calculated total energy (hartree per atom) = -0.2088

4.
DFT (PBE-GGA) results for a relaxed structure of BaY2Pt.

Cell and atoms, written as CIF:
```
data_BaY2Pt
_cell_length_a 4.1545
_cell_length_b 3.9137
_cell_length_c 8.7870
_cell_angle_alpha 90.00
_cell_angle_beta 103.61
_cell_angle_gamma 90.00
_symmetry_space_group_name_H-M 'P 1 m 1'
_symmetry_Int_Tables_number 6
_symmetry_space_group_name_Hall 'P -2y'
loop_
_atom_site_label
_atom_site_type_symbol
_atom_site_fract_x
_atom_site_fract_y
_atom_site_fract_z
_atom_site_occupancy
Ba1 Ba 0.0000 0.0000 0.0000 1
Y1 Y 0.3031 0.0000 0.6104 1
Y2 Y 0.6699 0.5000 0.3429 1
Pt1 Pt 0.8317 0.5000 0.6682 1
```

Output
- energy relative to the lowest polymorph listed for this composition (meV per atom) = 59
- energy of formation from the pure elements (eV per atom) = -0.4782
- calculated total energy (hartree per atom) = -0.2095